{"formula": "Ag2Pd3Au", "functional": "GGA-PBE", "state": "optimized geometry", "lattice": [[1.3972, -13.7428, 0.0000], [1.3972, 13.7428, 0.0000], [0.0000, 0.0000, 5.3257]], "species": ["Ag", "Ag", "Ag", "Ag", "Pd", "Pd", "Pd", "Pd", "Pd", "Pd", "Au", "Au"], "frac_coords": [[0.0000, 0.0000, 0.2500], [0.0000, 0.0000, 0.7500], [0.1564, 0.8436, 0.7500], [0.8436, 0.1564, 0.2500], [0.2551, 0.7449, 0.2500], [0.4217, 0.5783, 0.5009], [0.4217, 0.5783, 0.9991], [0.5783, 0.4217, 0.0009], [0.5783, 0.4217, 0.4991], [0.7449, 0.2551, 0.7500], [0.3316, 0.6684, 0.7500], [0.6684, 0.3316, 0.2500]], "final_energy_ev_per_atom": -4.0386, "relative_energy_ev_per_atom": 0.107, "formation_energy_mev_per_atom": 54}